The following is a GGA-PBE calculation of a relaxed K5Br2OF crystal, from Alexandria.

Cell: 5.033 7.310 15.810 Å, 90.00 90.00 90.00°
Space group Immm (No. 71)
Unique sites:
K: 0.000 0.000 0.000 [2 per cell]
K: 0.000 0.252 0.383 [8 per cell]
Br: 0.000 0.000 0.209 [4 per cell]
O: 0.000 0.500 0.500 [2 per cell]
F: 0.000 0.500 0.000 [2 per cell]

The energy comes out at -3.340 eV per atom. For the formation energy (no corrections), the calculation gives -1.60 eV per atom.